# Re2SiRh

Re2SiRh after structural relaxation (PBE-GGA, Alexandria via LeMat-Bulk).

Properties
uncorrected formation energy	-0.45	eV per formula unit
V	56	Å³ per cell
total DFT energy (no corrections)	-0.7005	Ry per atom
magnetic moment	0.00	μB/f.u.

Cell lengths 2.8839, 2.8839, 6.6995 Å; angles 90.00, 90.00, 90.00 degrees
Atoms (fractional coordinates):
Re 0.0000 0.0000 0.9726
Re 0.0000 0.0000 0.5274
Rh 0.5000 0.5000 0.2500
Si 0.5000 0.5000 0.7500

---

# ReSiRh2

ReSiRh2 after structural relaxation (PBE-GGA, Alexandria via LeMat-Bulk).

Properties
uncorrected formation energy	-0.20	eV per formula unit
V	56	Å³ per cell
total DFT energy (no corrections)	-0.6023	Ry per atom
magnetic moment	0.03	μB/f.u.

Cell lengths 3.8678, 3.8008, 3.8008 Å; angles 90.00, 90.00, 90.00 degrees
Atoms (fractional coordinates):
Re 0.5000 0.0000 0.5000
Rh 0.0000 0.0000 0.0000
Rh 0.0000 0.5000 0.5000
Si 0.5000 0.5000 0.0000

---

# ReSiRh2

ReSiRh2 after structural relaxation (PBE-GGA, Alexandria via LeMat-Bulk).

Properties
uncorrected formation energy	-1.26	eV per formula unit
V	56	Å³ per cell
total DFT energy (no corrections)	-0.6216	Ry per atom
magnetic moment	0.00	μB/f.u.

Cell lengths 3.8104, 2.7924, 5.4822 Å; angles 75.22, 90.00, 90.00 degrees
Atoms (fractional coordinates):
Re 0.5000 0.5553 0.7645
Rh 0.0000 0.9432 0.9869
Rh 0.5000 0.2879 0.3003
Si 0.0000 0.7136 0.4483

---

# Re2SiRh

Re2SiRh after structural relaxation (PBE-GGA, Alexandria via LeMat-Bulk).

Properties
uncorrected formation energy	-0.07	eV per formula unit
V	57	Å³ per cell
total DFT energy (no corrections)	-0.6934	Ry per atom
magnetic moment	0.00	μB/f.u.

Cell lengths 4.0474, 2.7536, 5.3801 Å; angles 72.10, 90.00, 90.00 degrees
Atoms (fractional coordinates):
Re 0.0000 0.9030 0.9855
Re 0.0000 0.5970 0.5145
Rh 0.5000 0.2500 0.2500
Si 0.5000 0.7500 0.7500

---

# Re2SiRh

Re2SiRh after structural relaxation (PBE-GGA, Alexandria via LeMat-Bulk).

Properties
uncorrected formation energy	-0.15	eV per formula unit
V	57	Å³ per cell
total DFT energy (no corrections)	-0.6950	Ry per atom
magnetic moment	0.00	μB/f.u.

Cell lengths 8.6889, 8.6889, 8.6889 Å; angles 18.34, 18.34, 18.34 degrees
Atoms (fractional coordinates):
Re 0.0032 0.0032 0.0032
Re 0.4968 0.4968 0.4968
Rh 0.2500 0.2500 0.2500
Si 0.7500 0.7500 0.7500

---

# TlReSi2Rh

TlReSi2Rh after structural relaxation (PBE-GGA, Alexandria via LeMat-Bulk).

Properties
uncorrected formation energy	5.99	eV per formula unit
V	107	Å³ per cell
total DFT energy (no corrections)	-0.3972	Ry per atom
magnetic moment	3.10	μB/f.u.

Cell lengths 4.5116, 5.2681, 4.5116 Å; angles 90.00, 90.00, 90.00 degrees
Each line ends with the local moment (μB).
Atoms (fractional coordinates):
Re 0.5000 0.5000 0.5000  2.82
Tl 0.0000 0.5000 0.0000  -0.01
Rh 0.0000 0.0000 0.0000  -0.05
Si 0.0000 0.0000 0.5000  -0.03
Si 0.5000 0.0000 0.0000  -0.01